Here is a relaxed ReOs2Pt crystal from Alexandria via LeMat-Bulk. Energies are from PBE.

Summary:
Energy relative to the lowest polymorph listed for this composition = 0.014 eV per atom
Total DFT energy (no corrections) = -10.16 eV/atom
Energy of formation = 73 meV/atom
M_tot = 0.000 μB per atom
Volume = 59.3 Å³/f.u.

a b c (Å): 9.1958 9.1958 9.1958
angles (deg): 17.20 17.20 17.20
Sites, in units of the cell vectors:
1 Re 0.0000 0.0000 0.0000
2 Os 0.2531 0.2531 0.2531
3 Os 0.7469 0.7469 0.7469
4 Pt 0.5000 0.5000 0.5000

Here is a relaxed LaAgIr crystal from Alexandria via LeMat-Bulk. Energies are from PBE.

Summary:
Energy relative to the lowest polymorph listed for this composition = 0.245 eV per atom
Total DFT energy (no corrections) = -5.72 eV/atom
Energy of formation = -173 meV/atom
M_tot = 0.000 μB per atom
Volume = 75.8 Å³/f.u.

a b c (Å): 4.7499 4.7499 4.7499
angles (deg): 60.00 60.00 60.00
Sites, in units of the cell vectors:
1 La 0.0000 0.0000 0.0000
2 Ag 0.5000 0.5000 0.5000
3 Ir 0.2500 0.2500 0.2500